The following is a PBE calculation of BaReRu2 after structural relaxation, from Alexandria via LeMat-Bulk.

Computed properties:
The value obtained for the total energy is -7.345 eV/atom. As for the energy above the most stable polymorph in this dataset: 0.4627 eV per atom. The calculation puts the formation energy at 342 kJ/mol of formula units. The spin magnetization is 0.00 μB per atom. As for the symmetry: No. 166.

a b c (Å): 10.1396 10.1396 10.1396
angles (deg): 16.63 16.63 16.63
Closest atoms and distances in Å follow each position.
Fractional coordinates of all 4 atoms:
Ru: 0.4852 0.4852 0.4852  3 Re 2.66, 6 Ru 2.93
Ru: 0.0148 0.0148 0.0148  3 Re 2.66, 6 Ru 2.93
Re: 0.7500 0.7500 0.7500  6 Ru 2.66, 6 Re 2.93
Ba: 0.2500 0.2500 0.2500  6 Ba 2.93